TeW3I: optimized geometry, GGA-PBEsol.

Results
The volume comes out at 115 Å³/cell. The crystal system is cubic. The total magnetization comes out at 0.0 μB per formula unit. The raw formation energy comes out at 2.791 eV/atom. The symmetry is Pm-3m, No. 221. As for the density of states at the Fermi level: 1.05 states/eV per atom.

a b c (Å): 4.867 4.867 4.867
angles (deg): 90.00 90.00 90.00
Positions (direct):
I (0.000, 0.000, 0.000)
Te (0.500, 0.500, 0.500)
W (0.000, 0.500, 0.000)
W (0.000, 0.000, 0.500)
W (0.500, 0.000, 0.000)